The following is a DFT calculation (PBE-GGA) of ScMn4Ga after structural relaxation.

abc: 4.797 4.797 4.797
angles: 60.00 60.00 60.00
Site moments in Bohr magnetons follow the coordinates.
Fractional coordinates of all 6 atoms:
1 Mn 0.626 0.626 0.122  0.32
2 Mn 0.626 0.626 0.626  0.32
3 Mn 0.122 0.626 0.626  0.32
4 Mn 0.626 0.122 0.626  0.32
5 Ga 0.000 0.000 0.000  -0.02
6 Sc 0.250 0.250 0.250  -0.05

Computed properties:
- energy of formation (meV per atom) = -67